A plane-wave DFT calculation with GGA-PBE was carried out for a geometry-optimized NpUSeS structure.

Structure (POSCAR):
```
NpUSeS
1.0
3.929 0.000 0.000
1.965 3.403 0.000
1.965 1.134 6.663
Se U S Np
1 1 1 1
direct
0.749 0.749 0.752
0.506 0.506 0.483
0.251 0.251 0.247
0.994 0.994 0.018
```

## Properties
VASP energy = -36.62 eV per cell
Space group = No. 160
Formation energy without anion corrections = -1.195 eV/atom



A plane-wave DFT calculation with GGA-PBE was carried out for a geometry-optimized Na8Cd3Sn2 structure.

Structure (POSCAR):
```
Na8Cd3Sn2
1.0
-0.428 -7.892 3.656
-4.627 -7.689 -2.225
5.387 -7.488 -0.620
Na Cd Sn
8 3 2
direct
0.073 0.635 0.635
0.968 0.913 0.913
0.927 0.365 0.365
0.560 0.597 0.106
0.440 0.403 0.894
0.032 0.087 0.087
0.560 0.106 0.597
0.440 0.894 0.403
0.500 0.000 0.000
0.000 0.304 0.696
0.000 0.696 0.304
0.441 0.278 0.278
0.559 0.722 0.722
```

## Properties
VASP energy = -22.05 eV per cell
Space group = No. 12
Formation enthalpy at 0 K = -1.32 kcal/mol of atoms



A plane-wave DFT calculation with GGA-PBE was carried out for a geometry-optimized AcPuTh2 structure.

Structure (POSCAR):
```
AcPuTh2
1.0
3.640 0.000 0.000
0.000 3.640 0.000
0.000 0.000 9.957
Th Pu Ac
2 1 1
direct
0.000 0.000 0.217
0.000 0.000 0.783
0.500 0.500 0.000
0.500 0.500 0.500
```

## Properties
VASP energy = -32.58 eV per cell
Polymorph energy (0 for the lowest one) = 0 meV per atom
Space group = No. 123
Formation enthalpy at 0 K = 4.02 kcal/mol of atoms



A plane-wave DFT calculation with GGA-PBE was carried out for a geometry-optimized PmGa3Cu2 structure.

Structure (POSCAR):
```
PmGa3Cu2
1.0
4.146 0.000 0.000
-2.073 7.759 -2.320
0.000 0.263 9.758
Cu Ga Pm
6 9 3
direct
0.204 0.407 0.090
0.513 0.026 0.765
0.353 0.706 0.548
0.647 0.294 0.452
0.796 0.593 0.910
0.487 0.974 0.235
0.216 0.432 0.365
0.500 0.000 0.500
0.633 0.266 0.190
0.952 0.904 0.644
0.367 0.734 0.810
0.350 0.700 0.058
0.650 0.300 0.942
0.784 0.568 0.635
0.048 0.096 0.356
0.844 0.687 0.294
0.156 0.313 0.706
0.000 0.000 0.000
```

## Properties
VASP energy = -73.49 eV per cell
Polymorph energy (0 for the lowest one) = 0 meV per atom
Space group = No. 12
Formation enthalpy at 0 K = -9.50 kcal/mol of atoms



A plane-wave DFT calculation with GGA-PBE was carried out for a geometry-optimized CrFeAg2 structure.

Structure (POSCAR):
```
CrFeAg2
1.0
7.280 0.000 0.000
0.000 7.280 0.000
3.640 3.640 2.679
Ag Fe Cr
4 2 2
direct
0.109 0.625 0.250
0.875 0.891 0.750
0.641 0.125 0.250
0.375 0.359 0.750
0.750 0.250 0.500
0.000 0.000 0.000
0.500 0.500 0.000
0.250 0.750 0.500
```

## Properties
VASP energy = -40.96 eV per cell
Polymorph energy (0 for the lowest one) = 500 meV per atom
Space group = No. 122
Formation enthalpy at 0 K = 19.09 kcal/mol of atoms



A plane-wave DFT calculation with GGA-PBE was carried out for a geometry-optimized Rb3HfTe3 structure.

Structure (POSCAR):
```
Rb3HfTe3
1.0
9.101 -0.014 0.000
-1.881 9.348 0.000
0.000 0.000 14.783
Te Rb Hf
12 12 4
direct
0.468 0.634 0.625
0.390 0.257 0.040
0.552 0.189 0.664
0.110 0.243 0.540
0.948 0.311 0.164
0.610 0.743 0.960
0.448 0.811 0.336
0.532 0.366 0.375
0.052 0.689 0.836
0.890 0.757 0.460
0.968 0.134 0.875
0.032 0.866 0.125
0.258 0.902 0.564
0.621 0.023 0.139
0.297 0.414 0.810
0.379 0.977 0.861
0.121 0.523 0.361
0.242 0.598 0.064
0.758 0.402 0.936
0.879 0.477 0.639
0.742 0.098 0.436
0.703 0.586 0.190
0.797 0.914 0.690
0.203 0.086 0.310
0.586 0.643 0.450
0.914 0.857 0.950
0.414 0.357 0.550
0.086 0.143 0.050
```

## Properties
VASP energy = -115.49 eV per cell
Space group = No. 14
Formation energy without anion corrections = -0.942 eV/atom



A plane-wave DFT calculation with GGA-PBE was carried out for a geometry-optimized BaAgP structure.

Structure (POSCAR):
```
BaAgP
1.0
4.773 0.000 0.000
-0.591 8.012 0.002
-0.001 -0.001 4.444
P Ba Ag
2 2 2
direct
0.578 0.302 0.320
0.204 0.128 0.320
0.111 0.430 0.820
0.672 0.000 0.820
0.633 0.623 0.320
0.149 0.806 0.320
```

## Properties
VASP energy = -23.77 eV per cell
Space group = No. 10
Formation enthalpy at 0 K = -13.06 kcal/mol of atoms



A plane-wave DFT calculation with GGA-PBE was carried out for a geometry-optimized CsIrSe2N structure.

Structure (POSCAR):
```
CsIrSe2N
1.0
5.612 0.000 0.000
0.000 5.612 0.000
0.000 0.000 3.707
Se N Ir Cs
2 1 1 1
direct
0.500 0.000 0.000
0.000 0.500 0.000
0.000 0.000 0.500
0.000 0.000 0.000
0.500 0.500 0.500
```

## Properties
VASP energy = -24.27 eV per cell
Polymorph energy (0 for the lowest one) = 0 meV per atom
Space group = No. 123
Formation energy without anion corrections = 0.147 eV/atom



A plane-wave DFT calculation with GGA-PBE was carried out for a geometry-optimized SrIn2IrC structure.

Structure (POSCAR):
```
SrIn2IrC
1.0
5.535 0.000 0.000
0.000 3.894 0.000
0.000 0.000 5.535
Sr In C Ir
1 2 1 1
direct
0.500 0.500 0.500
0.500 0.000 0.000
0.000 0.000 0.500
0.000 0.500 0.000
0.000 0.000 0.000
```

## Properties
VASP energy = -23.50 eV per cell
Space group = No. 123
Formation enthalpy at 0 K = 8.02 kcal/mol of atoms



A plane-wave DFT calculation with GGA-PBE was carried out for a geometry-optimized Ag2Hg3Pd4 structure.

Structure (POSCAR):
```
Ag2Hg3Pd4
1.0
4.169 -0.010 0.006
2.074 4.478 0.780
0.007 1.009 8.724
Ag Hg Pd
2 3 4
direct
0.331 0.339 0.783
0.669 0.661 0.217
0.000 0.000 0.000
0.665 0.670 0.566
0.335 0.330 0.434
0.996 0.010 0.668
0.334 0.331 0.109
0.004 0.990 0.332
0.666 0.669 0.891
```

## Properties
VASP energy = -28.18 eV per cell
Polymorph energy (0 for the lowest one) = 0 meV per atom
Space group = No. 2
Formation enthalpy at 0 K = -2.06 kcal/mol of atoms



A plane-wave DFT calculation with GGA-PBE was carried out for a geometry-optimized Ac2FeB12Os3 structure.

Structure (POSCAR):
```
Ac2FeB12Os3
1.0
8.396 0.292 0.207
4.400 7.157 0.207
4.400 2.561 6.686
B Os Ac Fe
12 3 2 1
direct
0.995 0.995 0.761
0.080 0.753 0.753
0.995 0.761 0.995
0.761 0.995 0.995
0.005 0.239 0.005
0.920 0.247 0.247
0.753 0.753 0.080
0.753 0.080 0.753
0.005 0.005 0.239
0.239 0.005 0.005
0.247 0.920 0.247
0.247 0.247 0.920
0.000 0.000 0.500
0.000 0.500 0.000
0.500 0.000 0.000
0.738 0.738 0.738
0.262 0.262 0.262
0.000 0.000 0.000
```

## Properties
VASP energy = -121.47 eV per cell
Space group = No. 166
Formation enthalpy at 0 K = 11.57 kcal/mol of atoms



A plane-wave DFT calculation with GGA-PBE was carried out for a geometry-optimized KCaSc structure.

Structure (POSCAR):
```
KCaSc
1.0
-8.844 -1.192 -3.178
-7.261 -5.859 -1.637
7.138 3.997 4.775
Sc Ca K
1 1 1
direct
0.653 0.653 0.000
0.022 0.022 0.000
0.325 0.325 0.000
```

## Properties
VASP energy = -8.23 eV per cell
Polymorph energy (0 for the lowest one) = 13 meV per atom
Space group = No. 107
Formation enthalpy at 0 K = 9.27 kcal/mol of atoms